# 1
# CdPdN2Cl

CdPdN2Cl after structural relaxation (GGA-PBE, Alexandria).

POSCAR file:
```
CdPdN2Cl
1.0
-3.3329 -2.3161 1.2137
1.7696 0.2567 5.3493
-2.2519 3.5418 0.5750
Cl Cd Pd N
1 1 1 2
direct
0.0000 0.5000 0.0000
0.0000 0.0000 0.0000
0.5000 0.5000 0.5000
0.0000 0.0000 0.5000
0.5000 0.0000 0.0000
```

Total DFT energy (no corrections) = -3.211 eV/atom
V = 20.24 A^3/atom
Energy relative to the elements, uncorrected = 165.0 kJ/mol of atoms
Magnetic moment = 4.383 μB/cell
Space group = No. 123

---

# 2
# CdSNCl2

CdSNCl2 after structural relaxation (GGA-PBE, Alexandria).

POSCAR file:
```
CdSNCl2
1.0
-3.0557 -2.2983 1.9638
-1.7401 -0.9462 -3.8148
2.6940 -3.8218 -0.2809
Cl Cd N S
2 1 1 1
direct
0.0000 0.5000 0.0000
0.5000 0.0000 0.0000
0.5000 0.5000 0.5000
0.0000 0.0000 0.0000
0.0000 0.0000 0.5000
```

Total DFT energy (no corrections) = -2.674 eV/atom
V = 17.31 A^3/atom
Energy relative to the elements, uncorrected = 71.2 kJ/mol of atoms
Magnetic moment = 0.000 μB/cell
Space group = No. 123
Distance to the lowest polymorph of the same formula = 0.0 kJ per mole of atoms

---

# 3
# CdS2NCl

CdS2NCl after structural relaxation (GGA-PBE, Alexandria).

POSCAR file:
```
CdS2NCl
1.0
5.2336 0.0000 0.0000
0.0000 5.2336 0.0000
0.0000 0.0000 5.3318
Cd S N Cl
1 2 1 1
direct
0.0000 0.0000 0.0000
0.0000 0.5000 0.0000
0.5000 0.0000 0.0000
0.5000 0.5000 0.5000
0.0000 0.0000 0.5000
```

Total DFT energy (no corrections) = -2.444 eV/atom
V = 29.21 A^3/atom
Energy relative to the elements, uncorrected = 137.4 kJ/mol of atoms
Magnetic moment = 5.963 μB/cell
Space group = No. 123
Distance to the lowest polymorph of the same formula = 52.9 kJ per mole of atoms

---

# 4
# CdSNCl2

CdSNCl2 after structural relaxation (GGA-PBE, Alexandria).

POSCAR file:
```
CdSNCl2
1.0
-2.8680 1.9067 3.9635
-0.1876 -4.7804 2.1639
4.4607 1.0560 2.7197
Cl N Cd S
2 1 1 1
direct
0.5000 0.0000 0.0000
0.0000 0.5000 0.0000
0.5000 0.5000 0.5000
0.0000 0.0000 0.0000
0.0000 0.0000 0.5000
```

Total DFT energy (no corrections) = -2.392 eV/atom
V = 29.39 A^3/atom
Energy relative to the elements, uncorrected = 98.5 kJ/mol of atoms
Magnetic moment = 5.028 μB/cell
Space group = No. 123
Distance to the lowest polymorph of the same formula = 27.2 kJ per mole of atoms

---

# 5
# CdS2NCl

CdS2NCl after structural relaxation (GGA-PBE, Alexandria).

POSCAR file:
```
CdS2NCl
1.0
-1.2698 -4.0818 -0.4833
2.7102 -0.4512 -3.3104
3.1519 -1.3071 2.7585
S Cd Cl N
2 1 1 1
direct
0.0000 0.5000 0.0000
0.5000 0.0000 0.0000
0.5000 0.5000 0.5000
0.0000 0.0000 0.5000
0.0000 0.0000 0.0000
```

Total DFT energy (no corrections) = -2.992 eV/atom
V = 16.24 A^3/atom
Energy relative to the elements, uncorrected = 84.5 kJ/mol of atoms
Magnetic moment = 0.000 μB/cell
Space group = No. 123
Distance to the lowest polymorph of the same formula = 0.0 kJ per mole of atoms

---

# 6
# CdS2NCl

CdS2NCl after structural relaxation (GGA-PBE, Alexandria).

POSCAR file:
```
CdS2NCl
1.0
4.9011 0.0000 0.0000
0.0000 4.9011 0.0000
0.0000 0.0000 3.8194
Cl S N Cd
1 2 1 1
direct
0.0000 0.0000 0.0000
0.5000 0.0000 0.0000
0.0000 0.5000 0.0000
0.0000 0.0000 0.5000
0.5000 0.5000 0.5000
```

Total DFT energy (no corrections) = -2.490 eV/atom
V = 18.35 A^3/atom
Energy relative to the elements, uncorrected = 133.0 kJ/mol of atoms
Magnetic moment = 1.665 μB/cell
Space group = No. 123
Distance to the lowest polymorph of the same formula = 48.5 kJ per mole of atoms

---

# 7
# CdS2NCl

CdS2NCl after structural relaxation (GGA-PBE, Alexandria).

POSCAR file:
```
CdS2NCl
1.0
-0.5150 0.2990 5.2359
-2.5775 -4.5963 0.0090
3.7848 -2.1215 0.4934
Cd S N Cl
1 2 1 1
direct
0.0000 0.0000 0.0000
0.0000 0.5000 0.0000
0.5000 0.0000 0.0000
0.0000 0.0000 0.5000
0.5000 0.5000 0.5000
```

Total DFT energy (no corrections) = -2.481 eV/atom
V = 24.25 A^3/atom
Energy relative to the elements, uncorrected = 133.9 kJ/mol of atoms
Magnetic moment = 5.673 μB/cell
Space group = No. 123
Distance to the lowest polymorph of the same formula = 49.4 kJ per mole of atoms

---

# 8
# ScCd2NCl

ScCd2NCl after structural relaxation (GGA-PBE, Alexandria).

POSCAR file:
```
ScCd2NCl
1.0
-5.4839 -1.3936 -1.8328
-1.1221 -0.4690 3.7139
-1.5443 5.7378 0.2579
N Cl Cd Sc
1 1 2 1
direct
0.0000 0.5000 0.0000
0.5000 0.5000 0.5000
0.5000 0.0000 0.0000
0.0000 0.0000 0.5000
0.0000 0.0000 0.0000
```

Total DFT energy (no corrections) = -3.537 eV/atom
V = 27.65 A^3/atom
Energy relative to the elements, uncorrected = 12.5 kJ/mol of atoms
Magnetic moment = 0.000 μB/cell
Space group = No. 123

---

# 9
# CdSeN2Cl

CdSeN2Cl after structural relaxation (GGA-PBE, Alexandria).

POSCAR file:
```
CdSeN2Cl
1.0
-2.3676 0.6919 3.2963
2.8352 -1.7657 2.4071
2.2685 4.5590 0.6723
Se Cl N Cd
1 1 2 1
direct
0.0000 0.0000 0.5000
0.0000 0.0000 0.0000
0.0000 0.5000 0.0000
0.5000 0.0000 0.0000
0.5000 0.5000 0.5000
```

Total DFT energy (no corrections) = -2.627 eV/atom
V = 17.41 A^3/atom
Energy relative to the elements, uncorrected = 188.3 kJ/mol of atoms
Magnetic moment = 2.571 μB/cell
Space group = No. 123
Distance to the lowest polymorph of the same formula = 21.1 kJ per mole of atoms

---

# 10
# CdSeN2Cl

CdSeN2Cl after structural relaxation (GGA-PBE, Alexandria).

POSCAR file:
```
CdSeN2Cl
1.0
4.2810 0.0000 0.0000
0.0000 4.2810 0.0000
0.0000 0.0000 6.0750
Cl N Cd Se
1 2 1 1
direct
0.5000 0.5000 0.5000
0.5000 0.0000 0.0000
0.0000 0.5000 0.0000
0.0000 0.0000 0.0000
0.0000 0.0000 0.5000
```

Total DFT energy (no corrections) = -2.846 eV/atom
V = 22.27 A^3/atom
Energy relative to the elements, uncorrected = 167.2 kJ/mol of atoms
Magnetic moment = 4.273 μB/cell
Space group = No. 123
Distance to the lowest polymorph of the same formula = 0.0 kJ per mole of atoms

---

# 11
# CdSeNCl2

CdSeNCl2 after structural relaxation (GGA-PBE, Alexandria).

POSCAR file:
```
CdSeNCl2
1.0
-3.7625 3.1100 2.6200
-2.3479 -0.5528 -2.7156
-1.9265 -4.5066 2.5830
Se N Cl Cd
1 1 2 1
direct
0.0000 0.0000 0.0000
0.0000 0.5000 0.0000
0.0000 0.0000 0.5000
0.5000 0.0000 0.0000
0.5000 0.5000 0.5000
```

Total DFT energy (no corrections) = -2.818 eV/atom
V = 22.30 A^3/atom
Energy relative to the elements, uncorrected = 44.9 kJ/mol of atoms
Magnetic moment = 0.000 μB/cell
Space group = No. 123

---

# 12
# CdSe2NCl

CdSe2NCl after structural relaxation (GGA-PBE, Alexandria).

POSCAR file:
```
CdSe2NCl
1.0
-3.4241 0.8649 3.7736
3.5752 -1.2262 3.5251
1.1107 3.6986 0.1600
Se Cd N Cl
2 1 1 1
direct
0.0000 0.5000 0.0000
0.5000 0.0000 0.0000
0.5000 0.5000 0.5000
0.0000 0.0000 0.5000
0.0000 0.0000 0.0000
```

Total DFT energy (no corrections) = -2.336 eV/atom
V = 20.65 A^3/atom
Energy relative to the elements, uncorrected = 123.0 kJ/mol of atoms
Magnetic moment = 1.652 μB/cell
Space group = No. 123
Distance to the lowest polymorph of the same formula = 5.6 kJ per mole of atoms